No. 1
Below is Dy2HoHfAs4 after structural relaxation, with properties calculated at the PBE level.

Crystal system   monoclinic
DFT total energy   -6.692 eV per atom
Energy of formation from the pure elements   -1400 meV per atom
Magnetization   0.00 μB per atom
DOS at the Fermi energy   1.4 states/eV per cell

Lattice parameters (Å, degrees): 6.979 4.026 6.980 90.00 109.27 90.00
Sites, in units of the cell vectors:
Dy  0.000  0.000  0.000
Dy  0.500  0.500  0.000
Ho  0.000  0.500  0.500
Hf  0.500  0.000  0.500
As  0.256  0.000  0.742
As  0.262  0.500  0.263
As  0.738  0.500  0.737
As  0.744  0.000  0.258

***

No. 2
Below is DyHo2HfAs4 after structural relaxation, with properties calculated at the PBE level.

Crystal system   monoclinic
DFT total energy   -6.684 eV per atom
Energy of formation from the pure elements   -1396 meV per atom
Magnetization   0.00 μB per atom
DOS at the Fermi energy   1.4 states/eV per cell

Lattice parameters (Å, degrees): 6.971 4.022 6.972 90.00 109.27 90.00
Sites, in units of the cell vectors:
Dy  0.000  0.000  0.000
Ho  0.500  0.000  0.500
Ho  0.500  0.500  0.000
Hf  0.000  0.500  0.500
As  0.239  0.000  0.738
As  0.245  0.500  0.257
As  0.755  0.500  0.743
As  0.761  0.000  0.262

***

No. 3
Below is La2DyHfAs4 after structural relaxation, with properties calculated at the PBE level.

Crystal system   monoclinic
DFT total energy   -6.788 eV per atom
Energy of formation from the pure elements   -1412 meV per atom
Magnetization   0.00 μB per atom
DOS at the Fermi energy   1.4 states/eV per cell

Lattice parameters (Å, degrees): 7.186 4.145 7.229 90.00 109.19 90.00
Sites, in units of the cell vectors:
La  0.000  0.000  0.000
La  0.500  0.500  0.000
Dy  0.000  0.500  0.500
Hf  0.500  0.000  0.500
As  0.253  0.000  0.728
As  0.268  0.500  0.277
As  0.732  0.500  0.723
As  0.747  0.000  0.272

***

No. 4
Below is LiDyHf2As4 after structural relaxation, with properties calculated at the PBE level.

Crystal system   monoclinic
DFT total energy   -6.656 eV per atom
Energy of formation from the pure elements   -1029 meV per atom
Magnetization   0.00 μB per atom
DOS at the Fermi energy   1.4 states/eV per cell

Lattice parameters (Å, degrees): 6.687 3.891 6.965 90.00 108.57 90.00
Sites, in units of the cell vectors:
Li  0.000  0.000  0.000
Dy  0.500  0.500  0.000
Hf  0.000  0.500  0.500
Hf  0.500  0.000  0.500
As  0.239  0.000  0.737
As  0.250  0.500  0.264
As  0.750  0.500  0.736
As  0.761  0.000  0.263

***

No. 5
Below is Dy2HfMgAs4 after structural relaxation, with properties calculated at the PBE level.

Crystal system   monoclinic
DFT total energy   -6.040 eV per atom
Energy of formation from the pure elements   -1121 meV per atom
Magnetization   0.00 μB per atom
DOS at the Fermi energy   1.1 states/eV per cell

Lattice parameters (Å, degrees): 6.885 4.004 6.987 90.00 109.82 90.00
Sites, in units of the cell vectors:
Dy  0.000  0.000  0.000
Dy  0.000  0.500  0.500
Hf  0.500  0.000  0.500
Mg  0.500  0.500  0.000
As  0.266  0.500  0.260
As  0.267  0.000  0.751
As  0.733  0.000  0.249
As  0.734  0.500  0.740

***

No. 6
Below is Nd2DyHfAs4 after structural relaxation, with properties calculated at the PBE level.

Crystal system   monoclinic
DFT total energy   -6.719 eV per atom
Energy of formation from the pure elements   -1383 meV per atom
Magnetization   0.00 μB per atom
DOS at the Fermi energy   1.4 states/eV per cell

Lattice parameters (Å, degrees): 7.114 4.105 7.132 90.00 109.24 90.00
Sites, in units of the cell vectors:
Nd  0.000  0.000  0.000
Nd  0.500  0.500  0.000
Dy  0.000  0.500  0.500
Hf  0.500  0.000  0.500
As  0.254  0.000  0.733
As  0.266  0.500  0.273
As  0.734  0.500  0.727
As  0.746  0.000  0.267

***

No. 7
Below is Dy2HfNpAs4 after structural relaxation, with properties calculated at the PBE level.

Crystal system   monoclinic
DFT total energy   -7.518 eV per atom
Energy of formation from the pure elements   -1181 meV per atom
Magnetization   0.50 μB per atom
DOS at the Fermi energy   10.6 states/eV per cell

Lattice parameters (Å, degrees): 6.977 4.026 6.997 90.00 109.14 90.00
Sites, in units of the cell vectors:
Dy  0.000  0.000  0.000
Dy  0.500  0.500  0.000
Hf  0.000  0.500  0.500
Np  0.500  0.000  0.500
As  0.238  0.000  0.737
As  0.244  0.500  0.258
As  0.756  0.500  0.742
As  0.762  0.000  0.263

***

No. 8
Below is DyHfNp2As4 after structural relaxation, with properties calculated at the PBE level.

Crystal system   monoclinic
DFT total energy   -8.345 eV per atom
Energy of formation from the pure elements   -966 meV per atom
Magnetization   0.02 μB per atom
DOS at the Fermi energy   21.2 states/eV per cell

Lattice parameters (Å, degrees): 6.981 4.016 7.004 90.00 109.27 90.00
Sites, in units of the cell vectors:
Dy  0.000  0.000  0.000
Hf  0.000  0.500  0.500
Np  0.500  0.000  0.500
Np  0.500  0.500  0.000
As  0.238  0.000  0.738
As  0.244  0.500  0.258
As  0.756  0.500  0.742
As  0.762  0.000  0.262

***

No. 9
Below is DyHfPa2As4 after structural relaxation, with properties calculated at the PBE level.

Crystal system   monoclinic
DFT total energy   -7.655 eV per atom
Energy of formation from the pure elements   -1137 meV per atom
Magnetization   0.00 μB per atom
DOS at the Fermi energy   7.1 states/eV per cell

Lattice parameters (Å, degrees): 6.936 4.046 6.993 90.00 109.70 90.00
Sites, in units of the cell vectors:
Dy  0.000  0.000  0.000
Hf  0.000  0.500  0.500
Pa  0.500  0.000  0.500
Pa  0.500  0.500  0.000
As  0.238  0.000  0.739
As  0.243  0.500  0.255
As  0.757  0.500  0.745
As  0.762  0.000  0.261

***

No. 10
Below is PmDy2HfAs4 after structural relaxation, with properties calculated at the PBE level.

Crystal system   monoclinic
DFT total energy   -6.694 eV per atom
Energy of formation from the pure elements   -1380 meV per atom
Magnetization   0.00 μB per atom
DOS at the Fermi energy   1.4 states/eV per cell

Lattice parameters (Å, degrees): 7.035 4.064 7.048 90.00 109.25 90.00
Sites, in units of the cell vectors:
Pm  0.000  0.000  0.000
Dy  0.500  0.000  0.500
Dy  0.500  0.500  0.000
Hf  0.000  0.500  0.500
As  0.239  0.000  0.734
As  0.248  0.500  0.262
As  0.752  0.500  0.738
As  0.761  0.000  0.266

***

No. 11
Below is PrDy2HfAs4 after structural relaxation, with properties calculated at the PBE level.

Crystal system   monoclinic
DFT total energy   -6.676 eV per atom
Energy of formation from the pure elements   -1359 meV per atom
Magnetization   0.00 μB per atom
DOS at the Fermi energy   1.4 states/eV per cell

Lattice parameters (Å, degrees): 7.063 4.083 7.086 90.00 109.24 90.00
Sites, in units of the cell vectors:
Pr  0.000  0.000  0.000
Dy  0.500  0.000  0.500
Dy  0.500  0.500  0.000
Hf  0.000  0.500  0.500
As  0.241  0.000  0.733
As  0.251  0.500  0.265
As  0.749  0.500  0.735
As  0.759  0.000  0.267

***

No. 12
Below is Pr2DyHfAs4 after structural relaxation, with properties calculated at the PBE level.

Crystal system   monoclinic
DFT total energy   -6.713 eV per atom
Energy of formation from the pure elements   -1374 meV per atom
Magnetization   0.00 μB per atom
DOS at the Fermi energy   1.5 states/eV per cell

Lattice parameters (Å, degrees): 7.143 4.122 7.166 90.00 109.22 90.00
Sites, in units of the cell vectors:
Pr  0.000  0.000  0.000
Pr  0.500  0.500  0.000
Dy  0.000  0.500  0.500
Hf  0.500  0.000  0.500
As  0.253  0.000  0.731
As  0.267  0.500  0.275
As  0.733  0.500  0.725
As  0.747  0.000  0.269

***

No. 13
Below is Dy2PuHfAs4 after structural relaxation, with properties calculated at the PBE level.

Crystal system   monoclinic
DFT total energy   -7.784 eV per atom
Energy of formation from the pure elements   -1273 meV per atom
Magnetization   0.65 μB per atom
DOS at the Fermi energy   12.0 states/eV per cell

Lattice parameters (Å, degrees): 6.992 4.040 6.997 90.00 109.25 90.00
Sites, in units of the cell vectors:
Dy  0.000  0.000  0.000
Dy  0.500  0.500  0.000
Pu  0.000  0.500  0.500
Hf  0.500  0.000  0.500
As  0.257  0.000  0.743
As  0.263  0.500  0.263
As  0.737  0.500  0.737
As  0.743  0.000  0.257

***

No. 14
Below is DyPu2HfAs4 after structural relaxation, with properties calculated at the PBE level.

Crystal system   monoclinic
DFT total energy   -8.894 eV per atom
Energy of formation from the pure elements   -1167 meV per atom
Magnetization   1.30 μB per atom
DOS at the Fermi energy   20.5 states/eV per cell

Lattice parameters (Å, degrees): 6.993 4.048 7.035 90.00 109.39 90.00
Sites, in units of the cell vectors:
Dy  0.000  0.000  0.000
Pu  0.500  0.000  0.500
Pu  0.500  0.500  0.000
Hf  0.000  0.500  0.500
As  0.237  0.000  0.736
As  0.243  0.500  0.258
As  0.757  0.500  0.742
As  0.763  0.000  0.264

***

No. 15
Below is DyHf2ScAs4 after structural relaxation, with properties calculated at the PBE level.

Crystal system   monoclinic
DFT total energy   -7.392 eV per atom
Energy of formation from the pure elements   -1213 meV per atom
Magnetization   0.00 μB per atom
DOS at the Fermi energy   4.1 states/eV per cell

Lattice parameters (Å, degrees): 6.746 3.894 6.823 90.00 109.35 90.00
Sites, in units of the cell vectors:
Dy  0.000  0.000  0.000
Hf  0.000  0.500  0.500
Hf  0.500  0.000  0.500
Sc  0.500  0.500  0.000
As  0.254  0.000  0.743
As  0.260  0.500  0.262
As  0.740  0.500  0.738
As  0.746  0.000  0.257

***

No. 16
Below is Sm2DyHfAs4 after structural relaxation, with properties calculated at the PBE level.

Crystal system   monoclinic
DFT total energy   -6.718 eV per atom
Energy of formation from the pure elements   -1394 meV per atom
Magnetization   0.00 μB per atom
DOS at the Fermi energy   1.4 states/eV per cell

Lattice parameters (Å, degrees): 7.067 4.078 7.077 90.00 109.25 90.00
Sites, in units of the cell vectors:
Sm  0.000  0.000  0.000
Sm  0.500  0.500  0.000
Dy  0.000  0.500  0.500
Hf  0.500  0.000  0.500
As  0.255  0.000  0.737
As  0.265  0.500  0.269
As  0.735  0.500  0.731
As  0.745  0.000  0.263

***

No. 17
Below is SmDy2HfAs4 after structural relaxation, with properties calculated at the PBE level.

Crystal system   monoclinic
DFT total energy   -6.694 eV per atom
Energy of formation from the pure elements   -1385 meV per atom
Magnetization   0.00 μB per atom
DOS at the Fermi energy   1.4 states/eV per cell

Lattice parameters (Å, degrees): 7.026 4.057 7.036 90.00 109.25 90.00
Sites, in units of the cell vectors:
Sm  0.000  0.000  0.000
Dy  0.500  0.000  0.500
Dy  0.500  0.500  0.000
Hf  0.000  0.500  0.500
As  0.239  0.000  0.735
As  0.247  0.500  0.261
As  0.753  0.500  0.739
As  0.761  0.000  0.265

***

No. 18
Below is Tb2DyHfAs4 after structural relaxation, with properties calculated at the PBE level.

Crystal system   monoclinic
DFT total energy   -6.705 eV per atom
Energy of formation from the pure elements   -1403 meV per atom
Magnetization   0.00 μB per atom
DOS at the Fermi energy   1.4 states/eV per cell

Lattice parameters (Å, degrees): 7.004 4.041 7.006 90.00 109.27 90.00
Sites, in units of the cell vectors:
Tb  0.000  0.000  0.000
Tb  0.500  0.500  0.000
Dy  0.000  0.500  0.500
Hf  0.500  0.000  0.500
As  0.256  0.000  0.742
As  0.263  0.500  0.264
As  0.737  0.500  0.736
As  0.744  0.000  0.258

***

No. 19
Below is Dy2HfThAs4 after structural relaxation, with properties calculated at the PBE level.

Crystal system   monoclinic
DFT total energy   -6.973 eV per atom
Energy of formation from the pure elements   -1326 meV per atom
Magnetization   0.00 μB per atom
DOS at the Fermi energy   3.9 states/eV per cell

Lattice parameters (Å, degrees): 7.061 4.084 7.079 90.00 109.41 90.00
Sites, in units of the cell vectors:
Dy  0.000  0.000  0.000
Dy  0.500  0.500  0.000
Hf  0.000  0.500  0.500
Th  0.500  0.000  0.500
As  0.234  0.000  0.740
As  0.236  0.500  0.250
As  0.764  0.500  0.750
As  0.766  0.000  0.260

***

No. 20
Below is Dy2TmHfAs4 after structural relaxation, with properties calculated at the PBE level.

Crystal system   monoclinic
DFT total energy   -6.675 eV per atom
Energy of formation from the pure elements   -1397 meV per atom
Magnetization   0.00 μB per atom
DOS at the Fermi energy   1.3 states/eV per cell

Lattice parameters (Å, degrees): 6.962 4.016 6.966 90.00 109.28 90.00
Sites, in units of the cell vectors:
Dy  0.000  0.000  0.000
Dy  0.500  0.500  0.000
Tm  0.000  0.500  0.500
Hf  0.500  0.000  0.500
As  0.254  0.000  0.741
As  0.261  0.500  0.264
As  0.739  0.500  0.736
As  0.746  0.000  0.259

***

No. 21
Below is DyTm2HfAs4 after structural relaxation, with properties calculated at the PBE level.

Crystal system   monoclinic
DFT total energy   -6.644 eV per atom
Energy of formation from the pure elements   -1382 meV per atom
Magnetization   0.00 μB per atom
DOS at the Fermi energy   1.3 states/eV per cell

Lattice parameters (Å, degrees): 6.938 4.003 6.942 90.00 109.27 90.00
Sites, in units of the cell vectors:
Dy  0.000  0.000  0.000
Tm  0.500  0.000  0.500
Tm  0.500  0.500  0.000
Hf  0.000  0.500  0.500
As  0.241  0.000  0.739
As  0.247  0.500  0.258
As  0.753  0.500  0.742
As  0.759  0.000  0.261

***

No. 22
Below is Dy2HfUAs4 after structural relaxation, with properties calculated at the PBE level.

Crystal system   monoclinic
DFT total energy   -7.315 eV per atom
Energy of formation from the pure elements   -1185 meV per atom
Magnetization   0.32 μB per atom
DOS at the Fermi energy   7.3 states/eV per cell

Lattice parameters (Å, degrees): 6.963 4.016 7.007 90.00 109.07 90.00
Sites, in units of the cell vectors:
Dy  0.000  0.000  0.000
Dy  0.500  0.500  0.000
Hf  0.000  0.500  0.500
U  0.500  0.000  0.500
As  0.239  0.000  0.736
As  0.244  0.500  0.257
As  0.756  0.500  0.743
As  0.761  0.000  0.264

***

No. 23
Below is Dy2YHfAs4 after structural relaxation, with properties calculated at the PBE level.

Crystal system   monoclinic
DFT total energy   -6.931 eV per atom
Energy of formation from the pure elements   -1404 meV per atom
Magnetization   0.00 μB per atom
DOS at the Fermi energy   1.4 states/eV per cell

Lattice parameters (Å, degrees): 6.989 4.032 6.991 90.00 109.27 90.00
Sites, in units of the cell vectors:
Dy  0.000  0.000  0.000
Dy  0.000  0.500  0.500
Y  0.500  0.000  0.500
Hf  0.500  0.500  0.000
As  0.256  0.500  0.243
As  0.262  0.000  0.763
As  0.738  0.000  0.237
As  0.744  0.500  0.757

***

No. 24
Below is DyY2HfAs4 after structural relaxation, with properties calculated at the PBE level.

Crystal system   monoclinic
DFT total energy   -7.168 eV per atom
Energy of formation from the pure elements   -1408 meV per atom
Magnetization   0.00 μB per atom
DOS at the Fermi energy   1.4 states/eV per cell

Lattice parameters (Å, degrees): 6.993 4.034 6.994 90.00 109.26 90.00
Sites, in units of the cell vectors:
Dy  0.000  0.000  0.000
Y  0.000  0.500  0.500
Y  0.500  0.000  0.500
Hf  0.500  0.500  0.000
As  0.257  0.500  0.243
As  0.263  0.000  0.763
As  0.737  0.000  0.237
As  0.743  0.500  0.757

***

No. 25
Below is DyHgAs after structural relaxation, with properties calculated at the PBE level.

Crystal system   trigonal
DFT total energy   -3.830 eV per atom
Energy of formation from the pure elements   -646 meV per atom
Magnetization   0.00 μB per atom
DOS at the Fermi energy   1.1 states/eV per cell

Lattice parameters (Å, degrees): 9.397 9.397 9.397 29.89 29.89 29.89
Sites, in units of the cell vectors:
Dy  0.114  0.114  0.114
Dy  0.886  0.886  0.886
Hg  0.363  0.363  0.363
Hg  0.637  0.637  0.637
As  0.219  0.219  0.219
As  0.781  0.781  0.781